No. 1
Material: NaNbHg
Method: DFT, PBE
State: relaxed

abc: 3.252 5.487 8.342
angles: 76.60 79.08 73.10
Sites, in units of the cell vectors:
Na (0.000, 0.000, 0.000)
Na (0.318, 0.533, 0.836)
Nb (0.310, 0.028, 0.350)
Nb (0.681, 0.056, 0.590)
Hg (0.660, 0.503, 0.181)
Hg (0.977, 0.539, 0.514)

Calculated values
The calculation puts the energy relative to the elements at 0.91 eV/f.u. As for the total energy: -0.132 Ha/atom. For the density of states at the Fermi level, the calculation gives 1.88 states/eV/f.u. As for the crystal system: triclinic.

***

No. 2
Material: Th5Te4Au
Method: DFT, PBE
State: relaxed

abc: 6.278 7.698 7.722
angles: 80.66 66.15 66.06
Sites, in units of the cell vectors:
Th (0.000, 0.000, 0.000)
Th (0.219, 0.176, 0.384)
Th (0.395, 0.387, 0.825)
Th (0.605, 0.613, 0.175)
Th (0.781, 0.824, 0.616)
Te (0.088, 0.602, 0.220)
Te (0.310, 0.781, 0.600)
Te (0.690, 0.219, 0.400)
Te (0.912, 0.398, 0.780)
Au (0.500, 0.000, 0.000)

Calculated values
As for the total energy: -0.230 Ha/atom. For the density of states at the Fermi level, the calculation gives 9.04 states/eV/f.u. As for the crystal system: triclinic.

***

No. 3
Material: ScTl2Ag2Se4
Method: DFT, PBE
State: relaxed

abc: 7.932 7.932 7.955
angles: 109.03 109.03 29.20
Sites, in units of the cell vectors:
Sc (0.000, 0.000, 0.000)
Tl (0.131, 0.131, 0.572)
Tl (0.869, 0.869, 0.428)
Ag (0.322, 0.322, 0.027)
Ag (0.678, 0.678, 0.973)
Se (0.190, 0.190, 0.201)
Se (0.495, 0.495, 0.237)
Se (0.505, 0.505, 0.763)
Se (0.810, 0.810, 0.799)

Calculated values
As for the total energy: -0.148 Ha/atom. For the density of states at the Fermi level, the calculation gives 4.61 states/eV/f.u. As for the crystal system: monoclinic.

***

No. 4
Material: Ca2ThRh4
Method: DFT, PBE
State: relaxed

abc: 8.297 8.297 8.297
angles: 149.81 149.81 43.21
Sites, in units of the cell vectors:
Ca (0.246, 0.246, 0.000)
Ca (0.754, 0.754, 0.000)
Th (0.500, 0.500, 0.000)
Rh (0.116, 0.616, 0.500)
Rh (0.384, 0.884, 0.500)
Rh (0.616, 0.116, 0.500)
Rh (0.884, 0.384, 0.500)

Calculated values
The calculation puts the energy relative to the elements at -2.24 eV/f.u. As for the total energy: -0.226 Ha/atom. For the density of states at the Fermi level, the calculation gives 2.51 states/eV/f.u. As for the crystal system: tetragonal.

***

No. 5
Material: CaCeHg4
Method: DFT, PBE
State: relaxed

abc: 6.054 6.054 6.054
angles: 60.00 60.00 60.00
Sites, in units of the cell vectors:
Ca (0.000, 0.000, 0.000)
Ce (0.750, 0.750, 0.750)
Hg (0.375, 0.375, 0.375)
Hg (0.375, 0.375, 0.874)
Hg (0.375, 0.874, 0.375)
Hg (0.874, 0.375, 0.375)

Calculated values
The calculation puts the energy relative to the elements at -1.33 eV/f.u. As for the total energy: -0.064 Ha/atom. For the density of states at the Fermi level, the calculation gives 11.59 states/eV/f.u. As for the crystal system: cubic.

***

No. 6
Material: Na2CeMnSe4
Method: DFT, PBE
State: relaxed

abc: 6.936 4.105 7.366
angles: 90.00 108.76 90.00
Sites, in units of the cell vectors:
Na (0.000, 0.000, 0.000)
Na (0.500, 0.500, 0.000)
Ce (0.000, 0.500, 0.500)
Mn (0.500, 0.000, 0.500)
Se (0.254, 0.000, 0.731)
Se (0.276, 0.500, 0.285)
Se (0.724, 0.500, 0.715)
Se (0.746, 0.000, 0.269)

Calculated values
As for the total energy: -0.189 Ha/atom. For the density of states at the Fermi level, the calculation gives 4.25 states/eV/f.u. As for the crystal system: monoclinic.

***

No. 7
Material: Tm3Zn4Ni4
Method: DFT, PBE
State: relaxed

abc: 7.785 7.785 7.785
angles: 150.58 126.71 62.04
Sites, in units of the cell vectors:
Tm (0.000, 0.000, 0.000)
Tm (0.374, 0.874, 0.500)
Tm (0.626, 0.126, 0.500)
Zn (0.021, 0.329, 0.692)
Zn (0.363, 0.671, 0.692)
Zn (0.637, 0.329, 0.308)
Zn (0.979, 0.671, 0.308)
Ni (0.220, 0.220, 0.000)
Ni (0.326, 0.500, 0.826)
Ni (0.674, 0.500, 0.174)
Ni (0.780, 0.780, 0.000)

Calculated values
The calculation puts the energy relative to the elements at -4.56 eV/f.u. As for the total energy: -0.154 Ha/atom. For the density of states at the Fermi level, the calculation gives 6.09 states/eV/f.u. As for the crystal system: orthorhombic.

***

No. 8
Material: Ho2USb3
Method: DFT, PBE
State: relaxed

abc: 9.747 9.745 4.376
angles: 77.05 77.00 25.95
Sites, in units of the cell vectors:
Ho (0.167, 0.167, 0.833)
Ho (0.833, 0.833, 0.167)
U (0.500, 0.500, 0.500)
Sb (0.000, 0.000, 0.000)
Sb (0.333, 0.333, 0.667)
Sb (0.667, 0.667, 0.333)

Calculated values
As for the total energy: -0.230 Ha/atom. For the density of states at the Fermi level, the calculation gives 6.14 states/eV/f.u. As for the crystal system: orthorhombic.

***

No. 9
Material: Ba2MgBr
Method: DFT, PBE
State: relaxed

abc: 11.487 11.487 11.487
angles: 21.76 21.76 21.76
Sites, in units of the cell vectors:
Ba (0.000, 0.000, 0.000)
Ba (0.220, 0.220, 0.220)
Mg (0.470, 0.470, 0.470)
Br (0.735, 0.735, 0.735)

Calculated values
As for the total energy: -0.085 Ha/atom. For the density of states at the Fermi level, the calculation gives 3.26 states/eV/f.u. As for the crystal system: trigonal.

***

No. 10
Material: RuPt3Br
Method: DFT, PBE
State: relaxed

abc: 4.685 4.685 4.685
angles: 90.00 90.00 90.00
Sites, in units of the cell vectors:
Ru (0.000, 0.000, 0.000)
Pt (0.000, 0.500, 0.500)
Pt (0.500, 0.000, 0.500)
Pt (0.500, 0.500, 0.000)
Br (0.500, 0.500, 0.500)

Calculated values
As for the total energy: -0.156 Ha/atom. For the density of states at the Fermi level, the calculation gives 4.25 states/eV/f.u. As for the crystal system: cubic.

***

No. 11
Material: ZrTaMoIr
Method: DFT, PBE
State: relaxed

abc: 4.605 4.605 4.605
angles: 60.00 60.00 60.00
Sites, in units of the cell vectors:
Zr (0.000, 0.000, 0.000)
Ta (0.500, 0.500, 0.500)
Mo (0.750, 0.750, 0.750)
Ir (0.250, 0.250, 0.250)

Calculated values
The calculation puts the energy relative to the elements at -1.92 eV/f.u. As for the total energy: -0.386 Ha/atom. For the density of states at the Fermi level, the calculation gives 1.81 states/eV/f.u. As for the crystal system: cubic.

***

No. 12
Material: Ba2BeNi
Method: DFT, PBE
State: relaxed

abc: 5.440 5.440 3.925
angles: 90.00 90.00 90.00
Sites, in units of the cell vectors:
Ba (0.000, 0.500, 0.000)
Ba (0.500, 0.000, 0.000)
Be (0.000, 0.000, 0.500)
Ni (0.500, 0.500, 0.500)

Calculated values
The calculation puts the energy relative to the elements at 1.81 eV/f.u. As for the total energy: -0.106 Ha/atom. For the density of states at the Fermi level, the calculation gives 3.96 states/eV/f.u. As for the crystal system: tetragonal.